# TcSnI2O

Crystalline TcSnI2O at its relaxed geometry (PBE, the Alexandria database).

Lattice parameters (Å, degrees): 5.712 5.712 3.787 90.00 90.00 90.00
Positions (direct):
1 I 0.000 0.500 0.000
2 I 0.500 0.000 0.000
3 Tc 0.000 0.000 0.000
4 O 0.000 0.000 0.500
5 Sn 0.500 0.500 0.500

Calculated values
D(E_F) = 2.44 states/eV/f.u.
distance to the lowest polymorph of the same formula = 0.000 eV per atom

=====

# Pm3Mg9Pd2

Crystalline Pm3Mg9Pd2 at its relaxed geometry (PBE, the Alexandria database).

Lattice parameters (Å, degrees): 4.973 8.578 8.578 77.78 73.15 73.15
Positions (direct):
1 Mg 0.131 0.150 0.588
2 Mg 0.131 0.588 0.150
3 Mg 0.367 0.993 0.272
4 Mg 0.633 0.728 0.007
5 Mg 0.367 0.272 0.993
6 Mg 0.633 0.007 0.728
7 Mg 0.000 0.500 0.500
8 Mg 0.869 0.412 0.850
9 Mg 0.869 0.850 0.412
10 Pd 0.500 0.347 0.653
11 Pd 0.500 0.653 0.347
12 Pm 0.705 0.295 0.295
13 Pm 0.295 0.705 0.705
14 Pm 0.000 0.000 0.000

Calculated values
energy of formation = -0.241 eV per atom
D(E_F) = 11.22 states/eV/f.u.

=====

# LiY4Pt3

Crystalline LiY4Pt3 at its relaxed geometry (PBE, the Alexandria database).

Lattice parameters (Å, degrees): 5.003 5.003 7.844 108.56 108.59 90.00
Positions (direct):
1 Y 0.127 0.127 0.254
2 Y 0.627 0.627 0.254
3 Y 0.373 0.373 0.746
4 Y 0.873 0.873 0.746
5 Pt 0.000 0.500 0.000
6 Pt 0.270 0.770 0.540
7 Pt 0.730 0.230 0.460
8 Li 0.500 0.000 0.000

Calculated values
energy of formation = -0.968 eV per atom
D(E_F) = 4.00 states/eV/f.u.

=====

# BeTc2

Crystalline BeTc2 at its relaxed geometry (PBE, the Alexandria database).

Lattice parameters (Å, degrees): 3.964 5.084 7.500 90.00 90.00 90.00
Positions (direct):
1 Tc 0.250 0.192 0.443
2 Tc 0.250 0.579 0.707
3 Tc 0.250 0.692 0.057
4 Tc 0.750 0.808 0.557
5 Tc 0.750 0.921 0.207
6 Tc 0.750 0.421 0.293
7 Tc 0.750 0.308 0.943
8 Tc 0.250 0.079 0.793
9 Be 0.250 0.699 0.382
10 Be 0.750 0.801 0.882
11 Be 0.250 0.199 0.118
12 Be 0.750 0.301 0.618

Calculated values
energy of formation = -0.018 eV per atom
D(E_F) = 1.81 states/eV/f.u.
distance to the lowest polymorph of the same formula = 0.250 eV per atom

=====

# CeDyIrO6

Crystalline CeDyIrO6 at its relaxed geometry (PBE, the Alexandria database).

Lattice parameters (Å, degrees): 5.507 5.507 9.634 90.00 90.00 120.00
Positions (direct):
1 O 0.325 0.363 0.866
2 O 0.961 0.637 0.366
3 O 0.325 0.961 0.634
4 O 0.675 0.039 0.366
5 O 0.637 0.675 0.634
6 O 0.039 0.675 0.866
7 O 0.637 0.961 0.866
8 O 0.363 0.039 0.134
9 O 0.961 0.325 0.134
10 O 0.675 0.637 0.134
11 O 0.363 0.325 0.366
12 O 0.039 0.363 0.634
13 Ir 0.667 0.333 0.250
14 Ir 0.333 0.667 0.750
15 Dy 0.000 0.000 0.500
16 Dy 0.000 0.000 0.000
17 Ce 0.667 0.333 0.750
18 Ce 0.333 0.667 0.250

Calculated values
D(E_F) = 5.63 states/eV/f.u.

=====

# NaMnN3

Crystalline NaMnN3 at its relaxed geometry (PBE, the Alexandria database).

Lattice parameters (Å, degrees): 3.684 3.684 3.684 90.00 90.00 90.00
Positions (direct):
1 N 0.000 0.500 0.000
2 N 0.500 0.000 0.000
3 N 0.000 0.000 0.500
4 Na 0.500 0.500 0.500
5 Mn 0.000 0.000 0.000

Calculated values
D(E_F) = 3.70 states/eV/f.u.

=====

# Cu2AsF

Crystalline Cu2AsF at its relaxed geometry (PBE, the Alexandria database).

Lattice parameters (Å, degrees): 4.205 4.205 4.205 60.00 60.00 60.00
Positions (direct):
1 F 0.000 0.000 0.000
2 Cu 0.750 0.750 0.750
3 Cu 0.250 0.250 0.250
4 As 0.500 0.500 0.500

Calculated values
D(E_F) = 3.74 states/eV/f.u.
distance to the lowest polymorph of the same formula = 0.162 eV per atom

=====

# Hg2MoIr

Crystalline Hg2MoIr at its relaxed geometry (PBE, the Alexandria database).

Lattice parameters (Å, degrees): 4.850 4.850 3.036 90.00 90.00 90.00
Positions (direct):
1 Hg 0.500 0.500 0.000
2 Hg 0.000 0.000 0.000
3 Ir 0.500 0.000 0.500
4 Mo 0.000 0.500 0.500

Calculated values
energy of formation = 0.803 eV per atom
D(E_F) = 4.86 states/eV/f.u.
distance to the lowest polymorph of the same formula = 0.628 eV per atom

=====

# La2CePm

Crystalline La2CePm at its relaxed geometry (PBE, the Alexandria database).

Lattice parameters (Å, degrees): 5.847 5.847 5.847 60.00 60.00 60.00
Positions (direct):
1 La 0.250 0.250 0.250
2 La 0.750 0.750 0.750
3 Ce 0.000 0.000 0.000
4 Pm 0.500 0.500 0.500

Calculated values
energy of formation = 0.195 eV per atom
D(E_F) = 11.08 states/eV/f.u.
distance to the lowest polymorph of the same formula = 0.144 eV per atom

=====

# Nd2AgI

Crystalline Nd2AgI at its relaxed geometry (PBE, the Alexandria database).

Lattice parameters (Å, degrees): 3.690 3.690 8.476 90.00 90.00 90.00
Positions (direct):
1 I 0.500 0.500 0.500
2 Ag 0.500 0.500 0.000
3 Nd 0.000 0.000 0.771
4 Nd 0.000 0.000 0.229

Calculated values
D(E_F) = 5.13 states/eV/f.u.
distance to the lowest polymorph of the same formula = 0.025 eV per atom

=====

# Rb2NF2

Crystalline Rb2NF2 at its relaxed geometry (PBE, the Alexandria database).

Lattice parameters (Å, degrees): 7.942 7.942 3.541 90.00 90.00 90.00
Positions (direct):
1 F 0.149 0.649 0.500
2 F 0.851 0.351 0.500
3 F 0.649 0.851 0.500
4 F 0.351 0.149 0.500
5 N 0.000 0.000 0.000
6 N 0.500 0.500 0.000
7 Rb 0.651 0.151 0.000
8 Rb 0.151 0.349 0.000
9 Rb 0.849 0.651 0.000
10 Rb 0.349 0.849 0.000

Calculated values
D(E_F) = 0.00 states/eV/f.u.
distance to the lowest polymorph of the same formula = 0.000 eV per atom

=====

# Ac2Nd6Tm5

Crystalline Ac2Nd6Tm5 at its relaxed geometry (PBE, the Alexandria database).

Lattice parameters (Å, degrees): 3.699 12.070 20.537 90.00 90.00 90.00
Positions (direct):
1 Nd 0.000 0.423 0.864
2 Nd 0.000 0.944 0.924
3 Nd 0.000 0.577 0.136
4 Nd 0.500 0.180 0.619
5 Nd 0.500 0.320 0.119
6 Nd 0.500 0.820 0.381
7 Nd 0.000 0.077 0.364
8 Nd 0.000 0.556 0.424
9 Nd 0.000 0.444 0.576
10 Nd 0.500 0.680 0.881
11 Nd 0.000 0.923 0.636
12 Nd 0.000 0.056 0.076
13 Ac 0.000 0.839 0.220
14 Ac 0.000 0.339 0.280
15 Ac 0.000 0.661 0.720
16 Ac 0.000 0.161 0.780
17 Tm 0.500 0.702 0.553
18 Tm 0.500 0.900 0.780
19 Tm 0.500 0.000 0.500
20 Tm 0.500 0.298 0.447
21 Tm 0.500 0.400 0.720
22 Tm 0.500 0.500 0.000
23 Tm 0.500 0.798 0.053
24 Tm 0.500 0.100 0.220
25 Tm 0.500 0.202 0.947
26 Tm 0.500 0.600 0.280

Calculated values
energy of formation = 0.116 eV per atom
D(E_F) = 16.47 states/eV/f.u.

=====

| no. | uncorrected energy (eV per atom) |
| --- | --- |
| 1 | -4.70 |
| 2 | -3.03 |
| 3 | -6.70 |
| 4 | -8.17 |
| 5 | -7.77 |
| 6 | -6.40 |
| 7 | -3.88 |
| 8 | -4.27 |
| 9 | -4.94 |
| 10 | -3.95 |
| 11 | -3.80 |
| 12 | -4.44 |